[1]
LaCu2HAu: relaxed, GGA-PBE.

The space group is P4/mmm (No. 123) and the conventional cell measures 4.7835, 4.7835 and 5.6211 Å, with angles of 90.00, 90.00 and 90.00 degrees. The distinct sites, in fractional coordinates, are La at (0.0000, 0.0000, 0.0000), Cu at (0.0000, 0.5000, 0.5000), H at (0.5000, 0.5000, 0.0000) and Au at (0.0000, 0.0000, 0.5000).

The calculated total energy comes out at -3.447 eV per atom. As for the density of states at the Fermi level: 0.430 states/eV/atom. The density comes out at 5.99 g/cm3.

---

[2]
GaAgGeIr2: relaxed, GGA-PBE.

The space group is P4/mmm (No. 123) and the conventional cell measures 4.9519, 4.9519 and 4.5673 Å, with angles of 90.00, 90.00 and 90.00 degrees. The distinct sites, in fractional coordinates, are Ga at (0.0000, 0.0000, 0.0000), Ag at (0.5000, 0.5000, 0.5000), Ge at (0.5000, 0.5000, 0.0000) and Ir at (0.0000, 0.5000, 0.5000).

The calculated total energy comes out at -3.977 eV per atom. As for the density of states at the Fermi level: 1.092 states/eV/atom. The energy of formation from the pure elements is 1.667 eV/atom. The density comes out at 9.41 g/cm3.

---

[3]
PrNd4Tc: relaxed, GGA-PBE.

The space group is C2/m (No. 12) and the conventional cell measures 17.7471, 7.8097 and 6.0823 Å, with angles of 90.00, 109.87 and 90.00 degrees. The distinct sites, in fractional coordinates, are Pr at (0.1964, 0.0000, 0.2132), Nd at (0.0000, 0.2179, 0.0000), Nd at (0.1192, 0.2385, 0.6184), Nd at (0.1722, 0.5000, 0.1644) and Tc at (0.0208, 0.5000, 0.7094).

The calculated total energy comes out at -5.619 eV per atom. As for the density of states at the Fermi level: 1.364 states/eV/atom. The energy of formation from the pure elements is 0.083 eV/atom. The density comes out at 6.84 g/cm3.

---

[4]
TbZrIrPt: relaxed, GGA-PBE.

The space group is F-43m (No. 216) and the conventional cell measures 6.8061, 6.8061 and 6.8061 Å, with angles of 90.00, 90.00 and 90.00 degrees. The distinct sites, in fractional coordinates, are Tb at (0.0000, 0.0000, 0.0000), Zr at (0.0000, 0.0000, 0.5000), Ir at (0.2500, 0.2500, 0.7500) and Pt at (0.2500, 0.2500, 0.2500).

The calculated total energy comes out at -7.882 eV per atom. As for the density of states at the Fermi level: 1.162 states/eV/atom. The energy of formation from the pure elements is -0.861 eV/atom. The density comes out at 13.43 g/cm3.

---

[5]
TlFe2Ru: relaxed, GGA-PBE.

The space group is R3m (No. 160, hexagonal axes) and the conventional cell measures 2.9283, 2.9283 and 25.2526 Å, with angles of 90.00, 90.00 and 120.00 degrees. The distinct sites, in fractional coordinates, are Tl at (0.0000, 0.0000, 0.0000), Fe at (0.0000, 0.0000, 0.2400), Fe at (0.0000, 0.0000, 0.5042) and Ru at (0.0000, 0.0000, 0.7624).

The calculated total energy comes out at -6.581 eV per atom. As for the density of states at the Fermi level: 1.115 states/eV/atom. The excess energy over the best structure of this formula in the dataset comes out at 16.7 kJ/mol of atoms. The energy of formation from the pure elements is 0.560 eV/atom. The density comes out at 11.08 g/cm3.

---

[6]
Ac2PmAs3: relaxed, GGA-PBE.

The space group is Fddd (No. 70, origin choice 2) and the conventional cell measures 8.8976, 12.5900 and 26.6984 Å, with angles of 90.00, 90.00 and 90.00 degrees. The distinct sites, in fractional coordinates, are Ac at (0.1250, 0.1250, 0.0422), Ac at (0.1250, 0.1250, 0.3743), Pm at (0.1250, 0.1250, 0.5415), As at (0.1131, 0.3750, 0.8750) and As at (0.1191, 0.3695, 0.7105).

The calculated total energy comes out at -5.961 eV per atom. As for the density of states at the Fermi level: 0.153 states/eV/atom. The energy of formation from the pure elements is -1.475 eV/atom. The density comes out at 7.32 g/cm3.